[1]
Nd3Ho3Th2: relaxed, PBE.

Output
Calculated formation energy   0.033 eV/atom
DOS(E_F)   9.4 states/eV/cell

Lattice parameters (Å, degrees): 5.0625 5.0825 10.8685 103.52 103.47 90.00
Positions (direct):
Nd 0.6283 0.6283 0.2565
Nd 0.3717 0.3717 0.7435
Nd 0.5000 0.0000 0.0000
Ho 0.1280 0.1280 0.2559
Ho 0.0000 0.5000 0.0000
Ho 0.8720 0.8720 0.7441
Th 0.7495 0.2495 0.4990
Th 0.2505 0.7505 0.5010

[2]
PmYSiPt: relaxed, PBE.

Output
VASP energy   -6.67 eV per atom
DOS(E_F)   3.2 states/eV/cell

Lattice parameters (Å, degrees): 4.0750 4.1976 5.8133 90.00 110.52 90.00
Positions (direct):
Pm 0.1431 0.0000 0.2863
Y 0.8624 0.5000 0.7248
Si 0.5715 0.5000 0.1431
Pt 0.4230 0.0000 0.8459

Which of these has the highest DOS(E_F)? Nd3Ho3Th2

Which value of DOS(E_F) does entry 2 give? 3.2 states/eV/cell

The lowest DOS(E_F) belongs to which entry? PmYSiPt